(1)
RbTeF2 | meta-GGA SCAN | PBEsol geometry

The structure belongs to space group Fm-3m (No. 225); the cell edges are 6.888, 6.888 and 6.888 Å and the angles 90.00°, 90.00° and 90.00°. The asymmetric unit holds Rb at (0.000, 0.000, 0.000), Te at (0.000, 0.000, 0.500) and F at (0.250, 0.250, 0.250).

The calculation puts the energy at -17.593 eV/atom.

***

(2)
ZnCdFe2 | meta-GGA SCAN | PBEsol geometry

The structure belongs to space group Pmmm (No. 47); the cell edges are 2.646, 3.848 and 5.353 Å and the angles 90.00°, 90.00° and 90.00°. The asymmetric unit holds Zn at (0.000, 0.000, 0.000), Cd at (0.000, 0.000, 0.500) and Fe at (0.500, 0.500, 0.223).

For the density of states at the Fermi level, the calculation gives 2.0 states/eV/cell. The calculation puts the energy at -19.899 eV/atom.

***

(3)
Zr2HgBi2 | meta-GGA SCAN | PBEsol geometry

The structure belongs to space group P4/mbm (No. 127); the cell edges are 7.876, 7.876 and 3.931 Å and the angles 90.00°, 90.00° and 90.00°. The asymmetric unit holds Zr at (0.143, 0.357, 0.000), Hg at (0.000, 0.000, 0.000) and Bi at (0.155, 0.655, 0.500).

For the density of states at the Fermi level, the calculation gives 6.4 states/eV/cell. The calculation puts the energy at -57.722 eV/atom.

***

(4)
RbRh2Au | meta-GGA SCAN | PBEsol geometry

The structure belongs to space group Fm-3m (No. 225); the cell edges are 6.610, 6.610 and 6.610 Å and the angles 90.00°, 90.00° and 90.00°. The asymmetric unit holds Rb at (0.000, 0.000, 0.000), Rh at (0.250, 0.250, 0.250) and Au at (0.000, 0.000, 0.500).

For the density of states at the Fermi level, the calculation gives 27.5 states/eV/cell. The calculation puts the energy at -38.361 eV/atom.

***

(5)
Cs2CdHg2 | meta-GGA SCAN | PBEsol geometry

The structure belongs to space group P4/mbm (No. 127); the cell edges are 8.109, 8.109 and 5.691 Å and the angles 90.00°, 90.00° and 90.00°. The asymmetric unit holds Cs at (0.177, 0.323, 0.000), Cd at (0.000, 0.000, 0.500) and Hg at (0.133, 0.633, 0.500).

The calculation puts the energy above the most stable polymorph in this dataset at 0 meV per atom. For the density of states at the Fermi level, the calculation gives 6.4 states/eV/cell.

***

(6)
CsCuBr2 | meta-GGA SCAN | PBEsol geometry

The structure belongs to space group I-42d (No. 122); the cell edges are 7.779, 7.779 and 8.096 Å and the angles 90.00°, 90.00° and 90.00°. The asymmetric unit holds Cs at (0.000, 0.000, 0.000), Cu at (0.000, 0.000, 0.500) and Br at (0.137, 0.750, 0.625).

For the density of states at the Fermi level, the calculation gives 0.0 states/eV/cell. The calculation puts the energy at -24.108 eV/atom.

***

(7)
CaGa2Au2 | meta-GGA SCAN | PBEsol geometry

The structure belongs to space group I4/mmm (No. 139); the cell edges are 4.116, 4.116 and 11.792 Å and the angles 90.00°, 90.00° and 90.00°. The asymmetric unit holds Ca at (0.000, 0.000, 0.000), Ga at (0.000, 0.500, 0.250) and Au at (0.000, 0.000, 0.385).

For the density of states at the Fermi level, the calculation gives 4.3 states/eV/cell. The calculation puts the energy at -36.828 eV/atom.

***

(8)
Li3NiOF3 | meta-GGA SCAN | PBEsol geometry

The structure belongs to space group P4/mmm (No. 123); the cell edges are 2.816, 2.816 and 8.357 Å and the angles 90.00°, 90.00° and 90.00°. The asymmetric unit holds Li at (0.000, 0.000, 0.000), Li at (0.500, 0.500, 0.247), Ni at (0.000, 0.000, 0.500), O at (0.500, 0.500, 0.500), F at (0.000, 0.000, 0.238) and F at (0.500, 0.500, 0.000).

The calculation puts the energy above the most stable polymorph in this dataset at 0 meV per atom. For the density of states at the Fermi level, the calculation gives 0.0 states/eV/cell.

***

(9)
MgMnSi2O6 | meta-GGA SCAN | PBEsol geometry

The structure belongs to space group Pbca (No. 61); the cell edges are 5.286, 18.396 and 8.943 Å and the angles 90.00°, 90.00° and 90.00°. The asymmetric unit holds Mg at (0.117, 0.125, 0.154), Mn at (0.119, 0.124, 0.514), Si at (0.057, 0.728, 0.660), Si at (0.212, 0.025, 0.837), O at (0.054, 0.684, 0.164), O at (0.061, 0.690, 0.498), O at (0.077, 0.552, 0.710), O at (0.175, 0.197, 0.734), O at (0.207, 0.565, 0.991) and O at (0.211, 0.564, 0.337).

The calculation puts the energy above the most stable polymorph in this dataset at 0 meV per atom. For the density of states at the Fermi level, the calculation gives 0.0 states/eV/cell.

***

(10)
Cs2FeO4 | meta-GGA SCAN | PBEsol geometry

The structure belongs to space group Pnma (No. 62); the cell edges are 8.331, 6.193 and 10.992 Å and the angles 90.00°, 90.00° and 90.00°. The asymmetric unit holds Cs at (0.014, 0.250, 0.194), Cs at (0.165, 0.750, 0.410), Fe at (0.235, 0.750, 0.081), O at (0.039, 0.750, 0.088), O at (0.193, 0.033, 0.648) and O at (0.204, 0.250, 0.438).

The calculation puts the energy at -18.578 eV/atom.

***

(11)
ScMo2Se | meta-GGA SCAN | PBEsol geometry

The structure belongs to space group Cmm2 (No. 35); the cell edges are 3.342, 4.964 and 8.215 Å and the angles 90.00°, 90.00° and 90.00°. The asymmetric unit holds Sc at (0.000, 0.000, 0.000), Mo at (0.000, 0.000, 0.497), Mo at (0.000, 0.500, 0.729) and Se at (0.000, 0.500, 0.243).

For the density of states at the Fermi level, the calculation gives 5.7 states/eV/cell. The calculation puts the energy at -26.022 eV/atom.

***

(12)
Co2NiAs | meta-GGA SCAN | PBEsol geometry

The structure belongs to space group Pmm2 (No. 25); the cell edges are 2.702, 3.405 and 4.946 Å and the angles 90.00°, 90.00° and 90.00°. The asymmetric unit holds Co at (0.000, 0.000, 0.000), Co at (0.500, 0.500, 0.227), Ni at (0.000, 0.000, 0.484) and As at (0.500, 0.500, 0.732).

For the density of states at the Fermi level, the calculation gives 3.1 states/eV/cell. The calculation puts the energy at -17.664 eV/atom.

***

(13)
La5Os3 | meta-GGA SCAN | PBEsol geometry

The structure belongs to space group P6_3/mcm (No. 193); the cell edges are 8.3298, 8.3298 and 6.5608 Å and the angles 90.00°, 90.00° and 120.00°. The asymmetric unit holds La at (0.0000, 0.2512, 0.2500), La at (0.3333, 0.6667, 0.0000) and Os at (0.0000, 0.3908, 0.7500).

For the density of states at the Fermi level, the calculation gives 12.6 states/eV/cell. The calculation puts the energy at -54.037 eV/atom.

***

(14)
NbTcSbI2 | meta-GGA SCAN | PBEsol geometry

The structure belongs to space group P4/mmm (No. 123); the cell edges are 5.294, 5.294 and 5.012 Å and the angles 90.00°, 90.00° and 90.00°. The asymmetric unit holds Nb at (0.000, 0.000, 0.000), Tc at (0.500, 0.500, 0.500), Sb at (0.500, 0.500, 0.000) and I at (0.000, 0.500, 0.500).

For the density of states at the Fermi level, the calculation gives 4.4 states/eV/cell. The calculation puts the energy at -34.631 eV/atom.

***

(15)
BaAl2Au | meta-GGA SCAN | PBEsol geometry

The structure belongs to space group P4/mmm (No. 123); the cell edges are 4.410, 4.410 and 5.016 Å and the angles 90.00°, 90.00° and 90.00°. The asymmetric unit holds Ba at (0.000, 0.000, 0.000), Al at (0.000, 0.500, 0.500) and Au at (0.500, 0.500, 0.000).

For the density of states at the Fermi level, the calculation gives 2.1 states/eV/cell. The calculation puts the energy at -31.041 eV/atom.

***

(16)
HfGa2BPb | meta-GGA SCAN | PBEsol geometry

The structure belongs to space group P4/mmm (No. 123); the cell edges are 5.332, 5.332 and 4.089 Å and the angles 90.00°, 90.00° and 90.00°. The asymmetric unit holds Hf at (0.000, 0.000, 0.000), Ga at (0.000, 0.500, 0.500), B at (0.500, 0.500, 0.000) and Pb at (0.500, 0.500, 0.500).

For the density of states at the Fermi level, the calculation gives 4.2 states/eV/cell. The calculation puts the energy at -34.080 eV/atom.

***

(17)
CsTbCdTe3 | meta-GGA SCAN | PBEsol geometry

The structure belongs to space group Cmcm (No. 63); the cell edges are 4.454, 16.747 and 11.636 Å and the angles 90.00°, 90.00° and 90.00°. The asymmetric unit holds Cs at (0.000, 0.249, 0.250), Tb at (0.000, 0.000, 0.000), Cd at (0.000, 0.462, 0.750), Te at (0.000, 0.067, 0.750) and Te at (0.000, 0.376, 0.546).

For the density of states at the Fermi level, the calculation gives 0.0 states/eV/cell. The calculation puts the energy at -39.015 eV/atom.

***

(18)
CoTc2NiRu | meta-GGA SCAN | PBEsol geometry

The structure belongs to space group P4/mmm (No. 123); the cell edges are 4.491, 4.491 and 4.343 Å and the angles 90.00°, 90.00° and 90.00°. The asymmetric unit holds Co at (0.000, 0.000, 0.000), Tc at (0.000, 0.500, 0.500), Ni at (0.500, 0.500, 0.000) and Ru at (0.000, 0.000, 0.500).

For the density of states at the Fermi level, the calculation gives 4.3 states/eV/cell. The calculation puts the energy at -25.793 eV/atom.

***

(19)
CdP | meta-GGA SCAN | PBEsol geometry

The structure belongs to space group P4/nmm (No. 129, origin choice 2); the cell edges are 4.296, 4.296 and 4.115 Å and the angles 90.00°, 90.00° and 90.00°. The asymmetric unit holds Cd at (0.250, 0.750, 0.000) and P at (0.250, 0.250, 0.411).

For the density of states at the Fermi level, the calculation gives 1.9 states/eV/cell. The calculation puts the energy at -19.963 eV/atom.

***

(20)
La4Cr | meta-GGA SCAN | PBEsol geometry

The structure belongs to space group I4/mmm (No. 139); the cell edges are 4.167, 4.167 and 19.048 Å and the angles 90.00°, 90.00° and 90.00°. The asymmetric unit holds La at (0.000, 0.000, 0.081), La at (0.000, 0.500, 0.250) and Cr at (0.000, 0.000, 0.500).

For the density of states at the Fermi level, the calculation gives 8.0 states/eV/cell. The calculation puts the energy at -37.675 eV/atom.